# 1
Material: Cs2Pd3Se4
Method: DFT, PBE
State: optimized geometry

Geometry as extended XYZ:
```
9
Lattice="-4.284 -3.732 3.255 5.749 -2.580 -1.778 2.236 5.346 5.682" Properties=species:S:1:pos:R:3 pbc="T T T"
Cs 1.636 -2.489 2.691
Cs 2.066 1.523 4.468
Se -1.011 1.329 6.691
Se 4.713 -2.295 0.468
Se -1.952 -3.061 3.811
Se 5.653 2.094 3.348
Pd 0.000 0.000 0.000
Pd -2.142 -1.866 1.627
Pd 2.875 -1.290 -0.889
```

Values from the calculation:
D(E_F) in states/eV/cell: 0.000
Formation energy without anion corrections in eV per atom: -0.75
Symmetry: Fmmm, No. 69

***

# 2
Material: Tl2InW
Method: DFT, PBE
State: optimized geometry

Geometry as extended XYZ:
```
4
Lattice="-1.494 -1.455 2.191 2.943 -0.092 0.693 -1.018 9.445 5.576" Properties=species:S:1:pos:R:3 pbc="T T T"
In -0.005 5.999 5.440
Tl -1.002 9.299 5.491
Tl 0.434 1.926 3.036
W -0.522 4.841 2.858
```

Values from the calculation:
D(E_F) in states/eV/cell: 1.470
Symmetry: Cmm2, No. 35
E_form in kJ/mol of formula units: 238

***

# 3
Material: Pr4Dy8Ho
Method: DFT, PBE
State: optimized geometry

Geometry as extended XYZ:
```
13
Lattice="7.627 -1.159 1.336 0.914 7.661 1.336 -1.522 -1.159 7.592" Properties=species:S:1:pos:R:3 pbc="T T T"
Pr 3.053 -1.159 4.464
Pr -0.304 3.251 4.464
Pr 4.270 3.251 1.336
Pr 0.000 0.000 0.000
Dy 2.155 5.260 3.152
Dy 6.129 4.666 3.861
Dy 4.863 0.083 7.112
Dy 1.374 4.666 7.112
Dy 5.335 4.061 7.802
Dy 1.684 1.282 2.462
Dy 5.644 0.677 3.152
Dy 0.889 0.677 6.403
Ho 3.509 2.671 5.132
```

Values from the calculation:
D(E_F) in states/eV/cell: 23.329
Symmetry: R-3m, No. 166
E_form in kJ/mol of formula units: 651

***

# 4
Material: K2CaZn
Method: DFT, PBE
State: optimized geometry

Geometry as extended XYZ:
```
4
Lattice="-5.868 1.085 1.429 1.147 -2.041 5.672 3.417 4.548 -2.300" Properties=species:S:1:pos:R:3 pbc="T T T"
Ca -2.405 2.577 1.340
K 0.000 0.000 0.000
K 1.102 1.014 3.461
Zn -2.360 -0.478 3.550
```

Values from the calculation:
D(E_F) in states/eV/cell: 3.180
Symmetry: I-4m2, No. 119
E_form in kJ/mol of formula units: 92

***

# 5
Material: NdEr4In4
Method: DFT, PBE
State: optimized geometry

Geometry as extended XYZ:
```
18
Lattice="7.236 0.000 0.000 0.000 7.236 0.000 0.000 0.000 10.483" Properties=species:S:1:pos:R:3 pbc="T T T"
Nd 0.000 0.000 0.000
Nd 3.618 3.618 5.241
Er 1.692 3.618 9.538
Er 5.543 3.618 9.538
Er 3.618 5.543 0.945
Er 3.618 1.692 0.945
Er 0.000 5.310 4.296
Er 0.000 1.926 4.296
Er 1.926 0.000 6.186
Er 5.310 0.000 6.186
In 3.618 5.708 8.310
In 3.618 1.527 8.310
In 5.708 3.618 2.173
In 1.527 3.618 2.173
In 2.091 0.000 3.068
In 5.145 0.000 3.068
In 0.000 2.091 7.414
In 0.000 5.145 7.414
```

Values from the calculation:
D(E_F) in states/eV/cell: 12.672
Symmetry: P4_2/nmc, No. 137
E_form in kJ/mol of formula units: -151

***

# 6
Material: Ac2H2PtO6
Method: DFT, PBE
State: optimized geometry

Geometry as extended XYZ:
```
11
Lattice="5.303 0.000 0.000 2.651 4.592 0.000 2.651 1.531 5.161" Properties=species:S:1:pos:R:3 pbc="T T T"
Ac 7.954 4.592 3.623
Ac 2.651 1.531 1.538
H 5.303 3.062 3.920
H 5.303 3.062 1.241
Pt 0.000 0.000 0.000
O 6.588 3.804 1.314
O 4.018 3.804 1.314
O 5.303 1.578 1.314
O 5.303 4.546 3.847
O 6.588 2.320 3.847
O 4.018 2.320 3.847
```

Values from the calculation:
Raw total energy in eV/atom: -6.353
Symmetry: R-3m, No. 166

***

# 7
Material: ScTaBe2Pb
Method: DFT, PBE
State: optimized geometry

Geometry as extended XYZ:
```
5
Lattice="4.692 0.000 0.000 0.000 4.862 0.000 0.000 0.000 4.692" Properties=species:S:1:pos:R:3 pbc="T T T"
Pb 2.346 2.431 2.346
Sc 0.000 2.431 0.000
Be 0.000 0.000 2.346
Be 2.346 0.000 0.000
Ta 0.000 0.000 0.000
```

Values from the calculation:
D(E_F) in states/eV/cell: 3.415
Symmetry: P4/mmm, No. 123
E_form in kJ/mol of formula units: 518